The following is a DFT calculation (PBE-GGA) of an optimized crystal structure of NaTeP2S.

Results
- DFT total energy: -3.25 eV per atom
- ΔE_f (raw): 629 meV/atom
- Space group: P4/mmm (123)
- Energy above the most stable polymorph in this dataset: 0.0000 eV per atom
- Total moment: 0.43 μB per cell

a = 5.1144 Å, b = 5.1144 Å, c = 5.2461 Å
α = 90.00°, β = 90.00°, γ = 90.00°
Positions (direct):
Na  0.0000  0.0000  0.0000
Te  0.5000  0.5000  0.5000
P  0.0000  0.5000  0.5000
P  0.5000  0.0000  0.5000
S  0.5000  0.5000  0.0000